This record from Alexandria describes a relaxed structure of NbCd2O. The functional is PBE.

The formation energy (no corrections) comes out at 0.691 eV/atom. As for the polymorph energy (0 for the lowest one): 0.8265 eV/atom.

Cell: 4.669 4.669 4.669 Å, 60.00 60.00 60.00°
Fractional coordinates of all 4 atoms:
Nb 0.000 0.000 0.000
Cd 0.250 0.250 0.250
Cd 0.750 0.750 0.750
O 0.500 0.500 0.500

This record from Alexandria describes a relaxed structure of TmPuGaRh. The functional is PBE.

For the formation energy, the calculation gives -480.0 meV per atom.

Cell: 4.930 4.930 4.930 Å, 60.00 60.00 60.00°
Fractional coordinates of all 4 atoms:
Tm 0.000 0.000 0.000
Pu 0.500 0.500 0.500
Ga 0.750 0.750 0.750
Rh 0.250 0.250 0.250

This record from Alexandria describes a relaxed structure of Dy12Ge3H5. The functional is PBE.

Cell: 13.167 13.167 13.167 Å, 109.47 109.47 109.47°
Fractional coordinates of all 80 atoms:
Dy 0.021 0.212 0.115
Dy 0.021 0.309 0.906
Dy 0.094 0.615 0.403
Dy 0.094 0.979 0.691
Dy 0.097 0.712 0.691
Dy 0.097 0.885 0.406
Dy 0.115 0.021 0.212
Dy 0.115 0.594 0.903
Dy 0.191 0.212 0.597
Dy 0.191 0.479 0.594
Dy 0.212 0.115 0.021
Dy 0.212 0.597 0.191
Dy 0.288 0.309 0.903
Dy 0.288 0.479 0.385
Dy 0.309 0.903 0.288
Dy 0.309 0.906 0.021
Dy 0.385 0.288 0.479
Dy 0.385 0.597 0.906
Dy 0.403 0.094 0.615
Dy 0.403 0.809 0.788
Dy 0.406 0.097 0.885
Dy 0.406 0.809 0.521
Dy 0.479 0.385 0.288
Dy 0.479 0.594 0.191
Dy 0.521 0.406 0.809
Dy 0.521 0.615 0.712
Dy 0.594 0.191 0.479
Dy 0.594 0.903 0.115
Dy 0.597 0.191 0.212
Dy 0.597 0.906 0.385
Dy 0.615 0.403 0.094
Dy 0.615 0.712 0.521
Dy 0.691 0.094 0.979
Dy 0.691 0.097 0.712
Dy 0.712 0.521 0.615
Dy 0.712 0.691 0.097
Dy 0.788 0.403 0.809
Dy 0.788 0.885 0.979
Dy 0.809 0.521 0.406
Dy 0.809 0.788 0.403
Dy 0.885 0.406 0.097
Dy 0.885 0.979 0.788
Dy 0.903 0.115 0.594
Dy 0.903 0.288 0.309
Dy 0.906 0.021 0.309
Dy 0.906 0.385 0.597
Dy 0.979 0.691 0.094
Dy 0.979 0.788 0.885
Ge 0.125 0.250 0.375
Ge 0.125 0.375 0.750
Ge 0.250 0.375 0.125
Ge 0.250 0.875 0.625
Ge 0.375 0.125 0.250
Ge 0.375 0.750 0.125
Ge 0.625 0.250 0.875
Ge 0.625 0.875 0.750
Ge 0.750 0.125 0.375
Ge 0.750 0.625 0.875
Ge 0.875 0.625 0.250
Ge 0.875 0.750 0.625
H 0.000 0.000 0.000
H 0.000 0.000 0.500
H 0.000 0.500 0.000
H 0.000 0.500 0.500
H 0.125 0.750 0.875
H 0.125 0.875 0.250
H 0.250 0.125 0.875
H 0.250 0.625 0.375
H 0.375 0.250 0.625
H 0.375 0.625 0.750
H 0.500 0.000 0.000
H 0.500 0.000 0.500
H 0.500 0.500 0.000
H 0.500 0.500 0.500
H 0.625 0.375 0.250
H 0.625 0.750 0.375
H 0.750 0.375 0.625
H 0.750 0.875 0.125
H 0.875 0.125 0.750
H 0.875 0.250 0.125

This record from Alexandria describes a relaxed structure of KFeAs2. The functional is PBE.

For the formation energy, the calculation gives 125.6 meV per atom. As for the polymorph energy (0 for the lowest one): 0.2704 eV/atom.

Cell: 3.009 3.674 8.216 Å, 90.00 90.00 90.00°
Fractional coordinates of all 4 atoms:
K 0.000 0.000 0.000
Fe 0.500 0.500 0.556
As 0.000 0.000 0.609
As 0.500 0.500 0.281

This record from Alexandria describes a relaxed structure of CeZrPt. The functional is PBE.

For the formation energy, the calculation gives -690.6 meV per atom. As for the polymorph energy (0 for the lowest one): 0.0000 eV/atom.

Cell: 4.693 4.693 6.822 Å, 90.61 90.61 90.02°
Fractional coordinates of all 6 atoms:
Ce 0.248 0.248 0.119
Ce 0.752 0.752 0.881
Zr 0.249 0.751 0.500
Zr 0.751 0.249 0.500
Pt 0.255 0.255 0.705
Pt 0.745 0.745 0.295

This record from Alexandria describes a relaxed structure of Nd4Cd3In2. The functional is PBE.

For the formation energy, the calculation gives -325.2 meV per atom.

Cell: 5.336 5.336 10.355 Å, 90.07 90.07 60.02°
Fractional coordinates of all 9 atoms:
Nd 0.000 0.000 0.170
Nd 0.000 0.000 0.830
Nd 0.333 0.333 0.385
Nd 0.667 0.667 0.615
Cd 0.000 0.000 0.500
Cd 0.333 0.333 0.025
Cd 0.667 0.667 0.975
In 0.333 0.333 0.713
In 0.667 0.667 0.287

This record from Alexandria describes a relaxed structure of ScAu3. The functional is PBE.

For the formation energy, the calculation gives -302.4 meV per atom.

Cell: 3.487 3.487 7.937 Å, 90.00 90.00 120.00°
Fractional coordinates of all 4 atoms:
Sc 0.000 0.000 0.000
Au 0.000 0.000 0.500
Au 0.667 0.333 0.241
Au 0.667 0.333 0.759

This record from Alexandria describes a relaxed structure of Cs3ClF6. The functional is PBE.

The formation energy (no corrections) comes out at -1.944 eV/atom. As for the polymorph energy (0 for the lowest one): 0.0000 eV/atom.

Cell: 4.723 7.426 15.663 Å, 90.00 104.33 90.00°
Fractional coordinates of all 20 atoms:
Cs 0.000 0.000 0.000
Cs 0.000 0.500 0.500
Cs 0.222 0.131 0.730
Cs 0.222 0.369 0.230
Cs 0.778 0.631 0.770
Cs 0.778 0.869 0.270
Cl 0.500 0.000 0.500
Cl 0.500 0.500 0.000
F 0.210 0.119 0.420
F 0.210 0.381 0.920
F 0.211 0.508 0.686
F 0.211 0.992 0.186
F 0.412 0.710 0.936
F 0.412 0.790 0.436
F 0.588 0.210 0.564
F 0.588 0.290 0.064
F 0.789 0.008 0.814
F 0.789 0.492 0.314
F 0.790 0.619 0.080
F 0.790 0.881 0.580

This record from Alexandria describes a relaxed structure of Pm2Hg2Pd5. The functional is PBE.

For the formation energy, the calculation gives -495.0 meV per atom.

Cell: 9.758 9.758 9.758 Å, 64.40 149.39 124.85°
Fractional coordinates of all 18 atoms:
Pm 0.184 0.127 0.311
Pm 0.184 0.373 0.557
Pm 0.816 0.627 0.443
Pm 0.816 0.873 0.689
Hg 0.256 0.689 0.067
Hg 0.623 0.189 0.933
Hg 0.707 0.207 0.500
Hg 0.707 0.707 0.000
Pd 0.004 0.992 0.512
Pd 0.239 0.493 0.860
Pd 0.239 0.879 0.246
Pd 0.480 0.492 0.488
Pd 0.490 0.037 0.138
Pd 0.490 0.853 0.953
Pd 0.632 0.379 0.140
Pd 0.632 0.993 0.754
Pd 0.900 0.353 0.862
Pd 0.900 0.537 0.047

This record from Alexandria describes a relaxed structure of La4Co2Sn5. The functional is PBE.

For the formation energy, the calculation gives -624.9 meV per atom.

Cell: 7.502 7.502 11.104 Å, 125.99 125.99 35.82°
Fractional coordinates of all 11 atoms:
La 0.062 0.062 0.221
La 0.332 0.332 0.218
La 0.668 0.668 0.782
La 0.938 0.938 0.779
Co 0.227 0.227 0.641
Co 0.773 0.773 0.359
Sn 0.000 0.000 0.500
Sn 0.346 0.346 0.522
Sn 0.373 0.373 0.943
Sn 0.627 0.627 0.057
Sn 0.654 0.654 0.478

| no. | energy (eV per atom) |
| --- | --- |
| 1 | -3.523 |
| 2 | -7.775 |
| 3 | -4.691 |
| 4 | -4.589 |
| 5 | -7.532 |
| 6 | -3.358 |
| 7 | -4.343 |
| 8 | -3.507 |
| 9 | -4.503 |
| 10 | -5.528 |